[1]
# BaAcCdNi GGA-PBE optimized geometry
# formation enthalpy at 0 K = -0.02 eV/f.u.
data_BaAcCdNi
_space_group_name_H-M_alt 'F -4 3 m'
_space_group_IT_number 216
_space_group_name_Hall 'F -4 2 3'
_cell_length_a 7.929
_cell_length_b 7.929
_cell_length_c 7.929
_cell_angle_alpha 90.00
_cell_angle_beta 90.00
_cell_angle_gamma 90.00
loop_
_atom_site_label
_atom_site_type_symbol
_atom_site_fract_x
_atom_site_fract_y
_atom_site_fract_z
_atom_site_occupancy
Ba1 Ba 0.000 0.000 0.000 1
Ac1 Ac 0.000 0.000 0.500 1
Cd1 Cd 0.250 0.250 0.750 1
Ni1 Ni 0.250 0.250 0.250 1


[2]
# BaAc2CdO5 GGA-PBE optimized geometry
# raw formation energy = -249.5 kJ per mole of atoms
data_BaAc2CdO5
_space_group_name_H-M_alt 'I 4/m c m'
_space_group_IT_number 140
_space_group_name_Hall '-I 4 2c'
_cell_length_a 7.203
_cell_length_b 7.203
_cell_length_c 12.504
_cell_angle_alpha 90.00
_cell_angle_beta 90.00
_cell_angle_gamma 90.00
loop_
_atom_site_label
_atom_site_type_symbol
_atom_site_fract_x
_atom_site_fract_y
_atom_site_fract_z
_atom_site_occupancy
Ba1 Ba 0.000 0.000 0.250 1
Ac1 Ac 0.174 0.326 0.000 1
Cd1 Cd 0.000 0.500 0.250 1
O1 O 0.000 0.000 0.000 1
O2 O 0.153 0.347 0.371 1